1.
Tb3SmY: optimized geometry, PBE. Values from VASP.

Crystal system: monoclinic
Distance to the lowest polymorph of the same formula in meV per atom: 28.8

Geometry as Quantum ESPRESSO input:
```
&SYSTEM
  ibrav = 0, nat = 20, ntyp = 3
/
ATOMIC_SPECIES
Tb 158.93 Tb.upf
Sm 150.36 Sm.upf
Y 88.91 Y.upf
CELL_PARAMETERS angstrom
7.687 -6.615 0.000
7.687 6.615 0.000
-1.551 0.000 6.408
ATOMIC_POSITIONS angstrom
Tb 5.290 4.161 3.520
Tb 3.283 2.460 5.447
Tb 4.054 0.997 2.258
Tb 7.757 4.161 6.091
Tb 3.278 -0.997 5.462
Tb 4.059 -2.460 2.244
Tb 9.764 2.460 4.164
Tb 10.544 0.997 0.945
Tb 6.065 -4.161 0.316
Tb 9.768 -0.997 4.149
Tb 10.539 -2.460 0.960
Tb 8.533 -4.161 2.887
Sm 7.299 2.458 1.602
Sm 6.523 1.004 4.806
Sm 7.299 -1.004 1.602
Sm 6.523 -2.458 4.806
Y 0.068 0.988 6.095
Y 0.844 -0.988 2.891
Y 12.979 0.988 3.516
Y 13.754 -0.988 0.312
```

---

2.
BaSrCuBiO6: optimized geometry, PBE. Values from VASP.

Crystal system: cubic
Formation energy from raw total energies in eV/atom: -1.534

Geometry as Quantum ESPRESSO input:
```
&SYSTEM
  ibrav = 0, nat = 10, ntyp = 5
/
ATOMIC_SPECIES
Ba 137.33 Ba.upf
Sr 87.62 Sr.upf
Cu 63.55 Cu.upf
Bi 208.98 Bi.upf
O 16.00 O.upf
CELL_PARAMETERS angstrom
0.000 4.132 4.132
4.132 0.000 4.132
4.132 4.132 0.000
ATOMIC_POSITIONS angstrom
Ba 0.000 0.000 0.000
Sr 4.132 4.132 4.132
Cu 6.198 6.198 6.198
Bi 2.066 2.066 2.066
O 6.198 6.198 4.213
O 6.198 4.213 6.198
O 8.182 6.198 6.198
O 4.213 6.198 6.198
O 6.198 8.182 6.198
O 6.198 6.198 8.182
```

---

3.
Sr5Ag3Br12: optimized geometry, PBE. Values from VASP.

Crystal system: cubic
Formation energy from raw total energies in eV/atom: -1.370

Geometry as Quantum ESPRESSO input:
```
&SYSTEM
  ibrav = 0, nat = 80, ntyp = 3
/
ATOMIC_SPECIES
Sr 87.62 Sr.upf
Ag 107.87 Ag.upf
Br 79.90 Br.upf
CELL_PARAMETERS angstrom
-9.106 9.106 9.106
9.106 -9.106 9.106
9.106 9.106 -9.106
ATOMIC_POSITIONS angstrom
Sr 0.000 0.000 0.000
Sr 4.553 4.553 -4.553
Sr 4.553 -4.553 4.553
Sr 9.106 0.000 0.000
Sr 13.659 2.276 0.000
Sr 9.106 -4.553 6.829
Sr 6.829 9.106 -4.553
Sr 6.829 0.000 4.553
Sr 4.553 6.829 0.000
Sr 9.106 4.553 2.276
Sr -4.553 4.553 4.553
Sr 0.000 9.106 0.000
Sr 0.000 0.000 9.106
Sr 4.553 4.553 4.553
Sr 0.000 4.553 6.829
Sr 4.553 2.276 9.106
Sr 2.276 9.106 4.553
Sr 2.276 0.000 13.659
Sr 0.000 13.659 2.276
Sr -4.553 6.829 9.106
Ag 4.553 2.276 0.000
Ag 9.106 4.553 -2.276
Ag 2.276 0.000 4.553
Ag 11.382 0.000 4.553
Ag 0.000 4.553 2.276
Ag 4.553 -2.276 9.106
Ag 4.553 11.382 0.000
Ag 9.106 4.553 6.829
Ag -2.276 9.106 4.553
Ag 6.829 9.106 4.553
Ag 0.000 4.553 11.382
Ag 4.553 6.829 9.106
Br 2.686 -0.503 1.401
Br 10.973 5.954 -5.056
Br 8.603 -1.401 2.686
Br 14.162 -1.867 3.151
Br 11.791 0.503 1.401
Br 10.973 -3.151 5.056
Br 1.401 2.686 -0.503
Br 12.257 4.050 -1.867
Br 5.954 5.056 -1.867
Br 7.704 2.686 0.503
Br -0.503 1.401 2.686
Br 5.056 -1.867 5.954
Br 8.603 7.704 -2.686
Br 5.056 1.867 3.151
Br 7.704 -2.686 8.603
Br 5.954 -5.056 10.973
Br 3.151 5.056 1.867
Br 10.507 6.420 0.503
Br 2.686 8.603 -1.401
Br 10.973 3.151 4.050
Br 5.056 10.973 -3.151
Br 8.603 1.401 6.420
Br 1.867 3.151 5.056
Br 2.686 0.503 7.704
Br 6.420 8.603 1.401
Br 7.239 5.954 4.050
Br 0.503 7.704 2.686
Br 4.050 -1.867 12.257
Br -1.867 5.954 5.056
Br 6.420 0.503 10.507
Br -1.401 2.686 8.603
Br 5.954 4.050 7.239
Br 3.151 14.162 -1.867
Br 1.401 11.791 0.503
Br 4.050 7.239 5.954
Br 0.503 1.401 11.791
Br 4.050 10.973 3.151
Br 9.609 7.704 6.420
Br 1.401 6.420 8.603
Br 3.151 4.050 10.973
Br -3.151 5.056 10.973
Br 7.704 6.420 9.609
Br -1.867 12.257 4.050
Br -2.686 8.603 7.704
Br -5.056 10.973 5.954
Br 0.503 10.507 6.420
Br -1.867 3.151 14.162
Br 6.420 9.609 7.704
```

---

4.
Ce2Pu2ZnSi4: optimized geometry, PBE. Values from VASP.

Crystal system: tetragonal
Formation energy from raw total energies in eV/atom: -0.161

Geometry as Quantum ESPRESSO input:
```
&SYSTEM
  ibrav = 0, nat = 9, ntyp = 4
/
ATOMIC_SPECIES
Ce 140.12 Ce.upf
Pu 244.00 Pu.upf
Zn 65.41 Zn.upf
Si 28.09 Si.upf
CELL_PARAMETERS angstrom
-3.394 3.394 4.289
3.394 -3.394 4.289
3.394 3.394 -4.289
ATOMIC_POSITIONS angstrom
Ce 3.394 0.000 2.144
Ce 0.000 3.394 2.144
Pu 0.000 0.000 1.498
Pu 0.000 0.000 7.079
Zn 0.000 0.000 4.289
Si 1.741 1.741 0.000
Si 1.653 -1.653 4.289
Si -1.653 1.653 4.289
Si 1.653 1.653 4.289
```

---

Number 1: DOS at the Fermi energy 8.40 states/eV/f.u., magnetization 0.001 μB/cell. Number 2: DOS at the Fermi energy 3.46 states/eV/f.u., magnetization 0.005 μB/cell. Number 3: DOS at the Fermi energy 2.82 states/eV/f.u., magnetization 0.000 μB/cell. Number 4: DOS at the Fermi energy 18.50 states/eV/f.u., magnetization 13.161 μB/cell.